No. 1
# Sm2Ho2CI2Br3 | OQMD via LeMat-Bulk | GGA-PBE | relaxed
data_Sm2Ho2CI2Br3
_cell_length_a 18.8010
_cell_length_b 3.9168
_cell_length_c 8.3200
_cell_angle_alpha 90.00
_cell_angle_beta 102.23
_cell_angle_gamma 90.00
_symmetry_space_group_name_H-M 'C 1 2/m 1'
_symmetry_Int_Tables_number 12
loop_
_symmetry_equiv_pos_as_xyz
'x,y,z'
'-x,-y,-z'
'-x,y,-z'
'x,-y,z'
'x+1/2,y+1/2,z'
'-x+1/2,-y+1/2,-z'
'-x+1/2,y+1/2,-z'
'x+1/2,-y+1/2,z'
loop_
_atom_site_label
_atom_site_fract_x
_atom_site_fract_y
_atom_site_fract_z
Sm1 0.9998 0.0000 0.2044
Ho1 0.1305 0.5000 0.0679
C1 0.0000 0.5000 0.0000
I1 0.1719 0.0000 0.8191
Br1 0.0000 0.5000 0.5000
Br2 0.1602 0.0000 0.3238
# **Excess energy over the best structure of this formula in the dataset**: 0 meV per atom

***

No. 2
# ErCuAs

A relaxed ErCuAs crystal (GGA-PBE, OQMD via LeMat-Bulk).

Cell and atoms, written as CIF:
```
data_ErCuAs
_cell_length_a 6.1664
_cell_length_b 6.1664
_cell_length_c 6.1664
_cell_angle_alpha 90.00
_cell_angle_beta 90.00
_cell_angle_gamma 90.00
_symmetry_space_group_name_H-M 'F -4 3 m'
_symmetry_Int_Tables_number 216
_symmetry_space_group_name_Hall 'F -4 2 3'
loop_
_atom_site_label
_atom_site_fract_x
_atom_site_fract_y
_atom_site_fract_z
Er1 0.0000 0.0000 0.0000
Cu1 0.2500 0.2500 0.7500
As1 0.0000 0.0000 0.5000
```

***

No. 3
# LaErSO2

A relaxed LaErSO2 crystal (GGA-PBE, OQMD via LeMat-Bulk).

Cell and atoms, written as CIF:
```
data_LaErSO2
_cell_length_a 3.9042
_cell_length_b 3.9042
_cell_length_c 6.7177
_cell_angle_alpha 90.00
_cell_angle_beta 90.00
_cell_angle_gamma 120.00
_symmetry_space_group_name_H-M 'P 3 m 1'
_symmetry_Int_Tables_number 156
loop_
_symmetry_equiv_pos_as_xyz
'x,y,z'
'-y,x-y,z'
'-x+y,-x,z'
'-y,-x,z'
'-x+y,y,z'
'x,x-y,z'
loop_
_atom_site_label
_atom_site_fract_x
_atom_site_fract_y
_atom_site_fract_z
La1 0.0000 0.0000 0.0000
Er1 0.3333 0.6667 0.5616
S1 0.6667 0.3333 0.2934
O1 0.0000 0.0000 0.6389
O2 0.3333 0.6667 0.8957
```

***

Number 1: DFT total energy -0.359 Ry/atom, spin magnetization 0.14 μB per formula unit. Number 2: DFT total energy -0.359 Ry/atom, spin magnetization 0.00 μB per formula unit. Number 3: DFT total energy -0.579 Ry/atom, spin magnetization 0.00 μB per formula unit.